(1)
BiP2Ir, relaxed, DFT PBE; theoretical density = 7.99 Mg/m³; calculated formation energy = -0.019 eV per atom
1.0
5.9547 0.0000 0.0000
0.0000 5.9547 0.0000
2.9773 2.9773 5.4278
P Bi Ir
4 2 2
Cartesian
4.0219 1.4887 1.3569
4.4660 4.9101 4.0708
7.4434 6.9993 4.0708
1.9328 4.4660 1.3569
0.0000 0.0000 0.0000
5.9547 2.9773 2.7139
2.9773 2.9773 0.0000
2.9773 5.9547 2.7139


(2)
NaHoGa4, relaxed, DFT PBE; theoretical density = 6.49 Mg/m³; calculated formation energy = -0.307 eV per atom
1.0
5.5271 0.0000 0.0000
2.7636 4.7866 0.0000
2.7636 1.5955 4.5129
Ho Ga Na
1 4 1
Cartesian
0.0000 0.0000 0.0000
5.5271 3.1911 0.5618
4.1435 3.9899 2.8213
6.9108 3.9899 2.8213
5.5271 1.5934 2.8213
2.7636 1.5955 1.1282